{"formula": "TlCd2Au2", "functional": "PBE", "state": "optimized geometry", "cell": [[-2.355, -0.674, 4.106], [4.723, -0.718, -0.192], [1.813, 11.165, 2.872]], "species": ["Au", "Au", "Au", "Au", "Cd", "Cd", "Cd", "Cd", "Tl", "Tl"], "frac_coords": [[0.000, 0.000, 0.000], [0.333, 0.667, 0.250], [0.000, 0.000, 0.500], [0.667, 0.333, 0.750], [0.667, 0.333, 0.078], [0.667, 0.333, 0.422], [0.333, 0.667, 0.578], [0.333, 0.667, 0.922], [0.000, 0.000, 0.250], [0.000, 0.000, 0.750]], "e_tot_ev_per_fu": -10.6, "space_group": "P6_3/mmc"}